i) HoScRh2: relaxed, PBE.

## Properties
Its space group is No. 225. The value obtained for the total magnetization is 0.0 Bohr magnetons per cell. The value obtained for the density of states at the Fermi level is 2.4 states/eV/f.u.

Structure (POSCAR):
```
HoScRh2
1.0
0.000 3.323 3.323
3.323 0.000 3.323
3.323 3.323 0.000
Ho Sc Rh
1 1 2
direct
0.000 0.000 0.000
0.500 0.500 0.500
0.250 0.250 0.250
0.750 0.750 0.750
```

---

ii) HoScRh2: relaxed, PBE.

## Properties
Its space group is No. 123. The value obtained for the total magnetization is 0.0 Bohr magnetons per cell. The value obtained for the density of states at the Fermi level is 1.5 states/eV/f.u.

Structure (POSCAR):
```
HoScRh2
1.0
3.262 0.000 0.000
0.000 3.262 0.000
0.000 0.000 6.878
Ho Sc Rh
1 1 2
direct
0.000 0.000 0.000
0.000 0.000 0.500
0.500 0.500 0.266
0.500 0.500 0.734
```

---

Result of the stability comparison: i) is the least stable of them.

---

i) Ho3ScRh2: relaxed, PBE.

## Properties
Its space group is No. 72. The value obtained for the total magnetization is 0.0 Bohr magnetons per cell. The value obtained for the density of states at the Fermi level is 5.1 states/eV/f.u.

Structure (POSCAR):
```
Ho3ScRh2
1.0
-3.278 6.625 3.512
3.278 -6.625 3.512
3.278 6.625 -3.512
Ho Sc Rh
6 2 4
direct
0.023 0.750 0.273
0.250 0.250 0.000
0.477 0.750 0.727
0.523 0.250 0.273
0.750 0.750 0.000
0.977 0.250 0.727
0.000 0.500 0.500
0.500 0.000 0.500
0.135 0.216 0.352
0.365 0.716 0.081
0.635 0.284 0.919
0.865 0.784 0.648
```

---

ii) Ho3ScRh2: relaxed, PBE.

## Properties
Its space group is No. 71. The value obtained for the total magnetization is 0.0 Bohr magnetons per cell. The value obtained for the density of states at the Fermi level is 3.8 states/eV/f.u.

Structure (POSCAR):
```
Ho3ScRh2
1.0
-2.058 2.306 7.286
2.058 -2.306 7.286
2.058 2.306 -7.286
Ho Sc Rh
3 1 2
direct
0.000 0.000 0.000
0.184 0.684 0.500
0.816 0.316 0.500
0.500 0.500 0.000
0.373 0.873 0.500
0.627 0.127 0.500
```

---

Result of the stability comparison: i) is the least stable of them.

---

i) HoScTlRh: relaxed, PBE.

## Properties
Its space group is No. 216. The value obtained for the total magnetization is 0.0 Bohr magnetons per cell. The value obtained for the density of states at the Fermi level is 1.8 states/eV/f.u.

Structure (POSCAR):
```
HoScTlRh
1.0
0.000 3.513 3.513
3.513 0.000 3.513
3.513 3.513 0.000
Ho Sc Tl Rh
1 1 1 1
direct
0.000 0.000 0.000
0.500 0.500 0.500
0.250 0.250 0.250
0.750 0.750 0.750
```

---

ii) HoScTlRh: relaxed, PBE.

## Properties
Its space group is No. 99. The value obtained for the total magnetization is 0.0 Bohr magnetons per cell. The value obtained for the density of states at the Fermi level is 2.7 states/eV/f.u.

Structure (POSCAR):
```
HoScTlRh
1.0
3.419 0.000 0.000
0.000 3.419 0.000
0.000 0.000 7.439
Ho Sc Tl Rh
1 1 1 1
direct
0.000 0.000 0.000
0.000 0.000 0.572
0.500 0.500 0.304
0.500 0.500 0.764
```

---

Result of the stability comparison: i) is the least stable of them.

---

i) HoSi3Rh3: relaxed, PBE.

## Properties
Its space group is No. 148. The value obtained for the total magnetization is 0.0 Bohr magnetons per cell. The value obtained for the density of states at the Fermi level is 3.1 states/eV/f.u.

Structure (POSCAR):
```
HoSi3Rh3
1.0
3.357 1.938 6.531
-3.357 1.938 6.531
0.000 -3.876 6.531
Ho Si Rh
2 6 6
direct
0.167 0.167 0.167
0.833 0.833 0.833
0.137 0.698 0.390
0.302 0.610 0.863
0.390 0.137 0.698
0.610 0.863 0.302
0.698 0.390 0.137
0.863 0.302 0.610
0.001 0.406 0.741
0.259 0.999 0.594
0.406 0.741 0.001
0.594 0.259 0.999
0.741 0.001 0.406
0.999 0.594 0.259
```

---

ii) HoSi3Rh3: relaxed, PBE.

## Properties
Its space group is No. 176. The value obtained for the total magnetization is 0.0 Bohr magnetons per cell. The value obtained for the density of states at the Fermi level is 2.3 states/eV/f.u.

Structure (POSCAR):
```
HoSi3Rh3
1.0
8.393 0.000 0.000
-4.196 7.268 0.000
0.000 0.000 4.086
Ho Si Rh
2 6 6
direct
0.333 0.667 0.250
0.667 0.333 0.750
0.055 0.624 0.750
0.376 0.431 0.750
0.431 0.055 0.250
0.569 0.945 0.750
0.624 0.569 0.250
0.945 0.376 0.250
0.066 0.344 0.750
0.278 0.934 0.750
0.344 0.278 0.250
0.656 0.722 0.750
0.722 0.066 0.250
0.934 0.656 0.250
```

---

Result of the stability comparison: i) is the least stable of them.

---

i) HoSi2Rh3: relaxed, PBE.

## Properties
Its space group is No. 191. The value obtained for the total magnetization is 0.0 Bohr magnetons per cell. The value obtained for the density of states at the Fermi level is 0.9 states/eV/f.u.

Structure (POSCAR):
```
HoSi2Rh3
1.0
5.521 0.000 0.000
-2.760 4.781 0.000
0.000 0.000 3.663
Ho Si Rh
1 2 3
direct
0.000 0.000 0.000
0.333 0.667 0.000
0.667 0.333 0.000
0.000 0.500 0.500
0.500 0.000 0.500
0.500 0.500 0.500
```

---

ii) HoSi2Rh3: relaxed, PBE.

## Properties
Its space group is No. 12. The value obtained for the total magnetization is 0.0 Bohr magnetons per cell. The value obtained for the density of states at the Fermi level is 2.6 states/eV/f.u.

Structure (POSCAR):
```
HoSi2Rh3
1.0
7.933 -1.979 0.000
7.933 1.979 0.000
-3.033 0.000 9.198
Ho Si Rh
3 6 9
direct
0.000 0.000 0.000
0.160 0.160 0.699
0.840 0.840 0.301
0.195 0.195 0.128
0.362 0.362 0.553
0.464 0.464 0.222
0.536 0.536 0.778
0.638 0.638 0.447
0.805 0.805 0.872
0.039 0.039 0.328
0.218 0.218 0.392
0.323 0.323 0.043
0.379 0.379 0.803
0.500 0.500 0.500
0.621 0.621 0.197
0.677 0.677 0.957
0.782 0.782 0.608
0.961 0.961 0.672
```

---

iii) HoSi2Rh3: relaxed, PBE.

## Properties
Its space group is No. 63. The value obtained for the total magnetization is 0.0 Bohr magnetons per cell. The value obtained for the density of states at the Fermi level is 2.7 states/eV/f.u.

Structure (POSCAR):
```
HoSi2Rh3
1.0
4.496 -3.966 0.000
4.496 3.966 0.000
0.000 0.000 5.431
Ho Si Rh
2 4 6
direct
0.160 0.840 0.750
0.840 0.160 0.250
0.275 0.275 0.000
0.275 0.275 0.500
0.725 0.725 0.000
0.725 0.725 0.500
0.035 0.618 0.250
0.382 0.965 0.250
0.496 0.504 0.250
0.504 0.496 0.750
0.618 0.035 0.750
0.965 0.382 0.750
```

---

Result of the stability comparison: iii) is the least stable of them.

---

i) HoSi3Rh5: relaxed, PBE.

## Properties
Its space group is No. 63. The value obtained for the total magnetization is 0.0 Bohr magnetons per cell. The value obtained for the density of states at the Fermi level is 6.2 states/eV/f.u.

Structure (POSCAR):
```
HoSi3Rh5
1.0
1.950 -6.152 0.000
1.950 6.152 0.000
0.000 0.000 12.187
Ho Si Rh
2 6 10
direct
0.157 0.843 0.750
0.843 0.157 0.250
0.114 0.886 0.250
0.384 0.616 0.042
0.384 0.616 0.458
0.616 0.384 0.542
0.616 0.384 0.958
0.886 0.114 0.750
0.000 0.000 0.000
0.000 0.000 0.500
0.203 0.797 0.076
0.203 0.797 0.424
0.450 0.550 0.645
0.450 0.550 0.855
0.550 0.450 0.145
0.550 0.450 0.355
0.797 0.203 0.576
0.797 0.203 0.924
```

---

ii) HoSi3Rh5: relaxed, PBE.

## Properties
Its space group is No. 176. The value obtained for the total magnetization is 0.0 Bohr magnetons per cell. The value obtained for the density of states at the Fermi level is 4.4 states/eV/f.u.

Structure (POSCAR):
```
HoSi3Rh5
1.0
15.597 0.000 0.000
-7.798 13.507 0.000
0.000 0.000 3.878
Ho Si Rh
6 18 30
direct
0.100 0.706 0.250
0.294 0.394 0.250
0.394 0.100 0.750
0.606 0.900 0.250
0.706 0.606 0.750
0.900 0.294 0.750
0.061 0.432 0.250
0.119 0.869 0.750
0.131 0.250 0.750
0.240 0.681 0.750
0.250 0.119 0.250
0.319 0.558 0.750
0.371 0.939 0.250
0.432 0.371 0.750
0.442 0.760 0.750
0.558 0.240 0.250
0.568 0.629 0.250
0.629 0.061 0.750
0.681 0.442 0.250
0.750 0.881 0.750
0.760 0.319 0.250
0.869 0.750 0.250
0.881 0.131 0.250
0.939 0.568 0.750
0.028 0.888 0.250
0.044 0.271 0.250
0.075 0.539 0.750
0.112 0.139 0.250
0.139 0.028 0.750
0.153 0.414 0.750
0.223 0.571 0.250
0.227 0.956 0.250
0.261 0.847 0.750
0.271 0.227 0.750
0.347 0.777 0.250
0.414 0.261 0.250
0.429 0.653 0.250
0.461 0.536 0.750
0.464 0.925 0.750
0.536 0.075 0.250
0.539 0.464 0.250
0.571 0.347 0.750
0.586 0.739 0.750
0.653 0.223 0.750
0.729 0.773 0.250
0.739 0.153 0.250
0.773 0.044 0.750
0.777 0.429 0.750
0.847 0.586 0.250
0.861 0.972 0.250
0.888 0.861 0.750
0.925 0.461 0.250
0.956 0.729 0.750
0.972 0.112 0.750
```

---

Result of the stability comparison: i) is the least stable of them.

---

i) Sm3HoRh: relaxed, PBE.

## Properties
Its space group is No. 8. The value obtained for the total magnetization is 0.0 Bohr magnetons per cell. The value obtained for the density of states at the Fermi level is 5.8 states/eV/f.u.

Structure (POSCAR):
```
Sm3HoRh
1.0
6.078 -1.898 0.000
6.078 1.898 0.000
-5.954 0.000 12.610
Sm Ho Rh
6 2 2
direct
0.000 0.000 0.000
0.011 0.011 0.358
0.346 0.346 0.475
0.454 0.454 0.757
0.664 0.664 0.237
0.675 0.675 0.601
0.221 0.221 0.847
0.329 0.329 0.120
0.015 0.015 0.634
0.669 0.669 0.971
```

---

ii) Sm3HoRh: relaxed, PBE.

## Properties
Its space group is No. 31. The value obtained for the total magnetization is 0.0 Bohr magnetons per cell. The value obtained for the density of states at the Fermi level is 6.3 states/eV/f.u.

Structure (POSCAR):
```
Sm3HoRh
1.0
7.691 0.000 0.000
0.000 6.592 0.000
0.000 0.000 6.242
Sm Ho Rh
6 2 2
direct
0.000 0.150 0.000
0.248 0.311 0.505
0.252 0.689 0.005
0.500 0.850 0.500
0.748 0.689 0.005
0.752 0.311 0.505
0.000 0.844 0.513
0.500 0.156 0.013
0.000 0.506 0.257
0.500 0.494 0.757
```

---

iii) Sm3HoRh: relaxed, PBE.

## Properties
Its space group is No. 221. The value obtained for the total magnetization is 0.2 Bohr magnetons per cell. The value obtained for the density of states at the Fermi level is 9.0 states/eV/f.u.

Structure (POSCAR):
```
Sm3HoRh
1.0
5.506 0.000 0.000
0.000 5.506 0.000
0.000 0.000 5.506
Sm Ho Rh
3 1 1
direct
0.000 0.000 0.500
0.000 0.500 0.000
0.500 0.000 0.000
0.500 0.500 0.500
0.000 0.000 0.000
```

---

Result of the stability comparison: iii) is the least stable of them.

---

i) SmHo2Rh2: relaxed, PBE.

## Properties
Its space group is No. 63. The value obtained for the total magnetization is 0.0 Bohr magnetons per cell. The value obtained for the density of states at the Fermi level is 3.8 states/eV/f.u.

Structure (POSCAR):
```
SmHo2Rh2
1.0
1.917 -13.095 0.000
1.917 13.095 0.000
0.000 0.000 4.661
Sm Ho Rh
2 4 4
direct
0.137 0.863 0.750
0.863 0.137 0.250
0.236 0.764 0.250
0.448 0.552 0.750
0.552 0.448 0.250
0.764 0.236 0.750
0.032 0.968 0.750
0.337 0.663 0.750
0.663 0.337 0.250
0.968 0.032 0.250
```

---

ii) SmHo2Rh2: relaxed, PBE.

## Properties
Its space group is No. 12. The value obtained for the total magnetization is 0.0 Bohr magnetons per cell. The value obtained for the density of states at the Fermi level is 3.0 states/eV/f.u.

Structure (POSCAR):
```
SmHo2Rh2
1.0
3.181 -3.178 0.000
3.181 3.178 0.000
-2.685 0.000 6.020
Sm Ho Rh
1 2 2
direct
0.000 0.000 0.000
0.253 0.747 0.500
0.747 0.253 0.500
0.365 0.365 0.788
0.635 0.635 0.212
```

---

Result of the stability comparison: ii) is the least stable of them.

---

i) SrHoRh: relaxed, PBE.

## Properties
Its space group is No. 107. The value obtained for the total magnetization is 0.0 Bohr magnetons per cell. The value obtained for the density of states at the Fermi level is 1.8 states/eV/f.u.

Structure (POSCAR):
```
SrHoRh
1.0
-1.765 1.765 6.827
1.765 -1.765 6.827
1.765 1.765 -6.827
Sr Ho Rh
1 1 1
direct
0.000 0.000 0.000
0.254 0.254 0.000
0.654 0.654 0.000
```

---

ii) SrHoRh: relaxed, PBE.

## Properties
Its space group is No. 12. The value obtained for the total magnetization is 0.0 Bohr magnetons per cell. The value obtained for the density of states at the Fermi level is 1.8 states/eV/f.u.

Structure (POSCAR):
```
SrHoRh
1.0
10.603 -2.489 0.000
10.603 2.489 0.000
-0.331 0.000 7.569
Sr Ho Rh
4 4 4
direct
0.078 0.078 0.312
0.411 0.411 0.163
0.589 0.589 0.837
0.922 0.922 0.688
0.211 0.211 0.614
0.233 0.233 0.131
0.767 0.767 0.869
0.789 0.789 0.386
0.318 0.318 0.840
0.331 0.331 0.481
0.669 0.669 0.519
0.682 0.682 0.160
```

---

Result of the stability comparison: i) is the least stable of them.